No. 1
TcHBr2 | the Alexandria database | PBE-GGA | optimized geometry; polymorph energy (0 for the lowest one) = 325.1 meV per atom; Fermi-level density of states = 0.825 states/eV/cell
1.0
0.000 3.134 3.134
3.134 0.000 3.134
3.134 3.134 0.000
Tc H Br
1 1 2
direct
0.000 0.000 0.000 Tc
0.500 0.500 0.500 H
0.250 0.250 0.250 Br
0.750 0.750 0.750 Br

No. 2
Rb2NaHgAu | the Alexandria database | PBE-GGA | optimized geometry; ΔH_f (0 K) = -2.57 kcal/mol of atoms; polymorph energy (0 for the lowest one) = 98.8 meV per atom; Fermi-level density of states = 4.624 states/eV/cell
1.0
6.628 0.000 0.000
0.000 6.628 0.000
0.000 0.000 5.685
Rb Na Hg Au
2 1 1 1
direct
0.000 0.500 0.000 Rb
0.500 0.000 0.000 Rb
0.000 0.000 0.500 Na
0.500 0.500 0.500 Hg
0.000 0.000 0.000 Au

No. 3
Mg2MoIr | the Alexandria database | PBE-GGA | optimized geometry; ΔH_f (0 K) = 2.04 kcal/mol of atoms; polymorph energy (0 for the lowest one) = 205.1 meV per atom; Fermi-level density of states = 5.652 states/eV/cell
1.0
2.788 0.000 0.000
0.000 2.788 0.000
0.000 0.000 8.436
Mg Mo Ir
2 1 1
direct
0.000 0.000 0.230 Mg
0.000 0.000 0.770 Mg
0.500 0.500 0.500 Mo
0.500 0.500 0.000 Ir